[1]
The following is a DFT calculation (GGA-PBE) of a relaxed structure of ZrRhO2F.

As for the total moment: 2.01 μB/cell. The formation energy without anion corrections is -8.480 eV/f.u. Its electronic total energy is -7.234 eV per atom.

a b c (Å): 4.167 4.167 4.167
angles (deg): 90.00 90.00 90.00
Atoms (fractional coordinates):
Rh1 0.500 0.500 0.500
O1 0.000 0.500 0.000
F1 0.000 0.000 0.500
Zr1 0.000 0.000 0.000
O2 0.500 0.000 0.000

***

[2]
The following is a DFT calculation (GGA-PBE) of a relaxed structure of ZrRhO2F.

As for the total moment: 0.00 μB/cell. The formation energy without anion corrections is -4.117 eV/f.u. Its electronic total energy is -6.361 eV per atom.

a b c (Å): 3.997 4.025 3.997
angles (deg): 90.00 90.00 90.00
Atoms (fractional coordinates):
Rh1 0.000 0.000 0.000
O1 0.000 0.000 0.500
F1 0.000 0.500 0.000
O2 0.500 0.000 0.000
Zr1 0.500 0.500 0.500

***

[3]
The following is a DFT calculation (GGA-PBE) of a relaxed structure of ZrRhOF2.

As for the total moment: 0.00 μB/cell. The energy relative to the lowest polymorph listed for this composition is 1045 meV per atom. The formation energy without anion corrections is -3.720 eV/f.u. Its electronic total energy is -5.664 eV per atom.

a b c (Å): 4.200 4.200 3.970
angles (deg): 90.00 90.00 90.00
Atoms (fractional coordinates):
Rh1 0.000 0.000 0.000
O1 0.000 0.000 0.500
F1 0.500 0.000 0.000
Zr1 0.500 0.500 0.500
F2 0.000 0.500 0.000

***

[4]
The following is a DFT calculation (GGA-PBE) of a relaxed structure of ZrRhOF2.

As for the total moment: 1.14 μB/cell. The energy relative to the lowest polymorph listed for this composition is 0 meV per atom. The formation energy without anion corrections is -8.947 eV/f.u. Its electronic total energy is -6.709 eV per atom.

a b c (Å): 4.256 4.256 4.108
angles (deg): 90.00 90.00 90.00
Atoms (fractional coordinates):
O1 0.000 0.000 0.500
Zr1 0.000 0.000 0.000
Rh1 0.500 0.500 0.500
F1 0.500 0.000 0.000
F2 0.000 0.500 0.000

***

[5]
The following is a DFT calculation (GGA-PBE) of a relaxed structure of RuO3F.

As for the total moment: 1.02 μB/cell. The formation energy without anion corrections is -3.739 eV/f.u. Its electronic total energy is -5.952 eV per atom.

a b c (Å): 5.155 4.977 4.977
angles (deg): 71.26 69.80 110.20
Atoms (fractional coordinates):
O1 0.944 0.651 0.000
O2 0.294 0.349 0.651
F1 0.527 0.000 0.000
O3 0.944 0.000 0.349
Ru1 0.165 0.000 0.000

***

[6]
The following is a DFT calculation (GGA-PBE) of a relaxed structure of RuOF4.

As for the total moment: 0.00 μB/cell. The energy relative to the lowest polymorph listed for this composition is 0 meV per atom. The formation energy without anion corrections is -8.414 eV/f.u. Its electronic total energy is -5.022 eV per atom.

a b c (Å): 9.332 6.360 9.046
angles (deg): 46.21 90.00 90.00
Atoms (fractional coordinates):
F1 0.634 0.614 0.578
Ru1 0.299 0.199 0.343
O1 0.123 0.199 0.340
F2 0.130 0.011 0.765
F3 0.870 0.989 0.235
F4 0.866 0.614 0.078
Ru2 0.701 0.801 0.657
F5 0.631 0.466 0.914
F6 0.369 0.534 0.086
F7 0.869 0.466 0.414
O2 0.377 0.199 0.840
F8 0.134 0.861 0.104
Ru3 0.201 0.199 0.843
O3 0.877 0.801 0.660
F9 0.366 0.861 0.604
F10 0.370 0.011 0.265
F11 0.131 0.534 0.586
F12 0.866 0.139 0.896
F13 0.366 0.386 0.422
O4 0.623 0.801 0.160
Ru4 0.799 0.801 0.157
F14 0.134 0.386 0.922
F15 0.634 0.139 0.396
F16 0.630 0.989 0.735

***

[7]
The following is a DFT calculation (GGA-PBE) of a relaxed structure of Ru2O3F3.

As for the total moment: 0.00 μB/cell. The formation energy without anion corrections is -10.316 eV/f.u. Its electronic total energy is -6.169 eV per atom.

a b c (Å): 7.475 7.475 7.475
angles (deg): 89.64 89.64 90.36
Atoms (fractional coordinates):
O1 0.697 0.998 0.192
Ru1 0.764 0.258 0.728
O2 0.303 0.804 0.499
O3 0.002 0.192 0.697
F1 0.502 0.314 0.797
Ru2 0.728 0.236 0.258
F2 0.797 0.498 0.314
Ru3 0.234 0.234 0.766
Ru4 0.236 0.742 0.272
F3 0.704 0.000 0.813
O4 0.697 0.196 0.501
O5 0.808 0.697 0.002
Ru5 0.272 0.764 0.742
O6 0.196 0.499 0.303
F4 0.686 0.797 0.502
F5 0.314 0.203 0.498
O7 0.192 0.303 0.998
O8 0.804 0.501 0.697
Ru6 0.742 0.728 0.764
F6 0.000 0.813 0.704
F7 0.813 0.296 0.000
O9 0.998 0.808 0.303
O10 0.501 0.303 0.196
F8 0.296 0.000 0.187
O11 0.499 0.697 0.804
F9 0.187 0.704 0.000
F10 0.498 0.686 0.203
Ru7 0.258 0.272 0.236
Ru8 0.766 0.766 0.234
F11 0.203 0.502 0.686
F12 0.000 0.187 0.296
O12 0.303 0.002 0.808

***

[8]
The following is a DFT calculation (GGA-PBE) of a relaxed structure of RuOF4.

As for the total moment: 5.84 μB/cell. The energy relative to the lowest polymorph listed for this composition is 44 meV per atom. The formation energy without anion corrections is -8.147 eV/f.u. Its electronic total energy is -4.978 eV per atom.

a b c (Å): 5.409 5.114 7.635
angles (deg): 117.36 92.68 89.86
Atoms (fractional coordinates):
F1 0.172 0.277 0.422
F2 0.479 0.545 0.755
O1 0.890 0.014 0.017
O2 0.110 0.986 0.983
Ru1 0.000 0.000 0.500
F3 0.521 0.455 0.245
Ru2 0.500 0.500 0.500
F4 0.828 0.723 0.578
F5 0.972 0.306 0.754
F6 0.328 0.887 0.582
F7 0.672 0.113 0.418
F8 0.028 0.694 0.246

***

[9]
The following is a DFT calculation (GGA-PBE) of a relaxed structure of RuOF2.

As for the total moment: 3.86 μB/cell. The energy relative to the lowest polymorph listed for this composition is 0 meV per atom. The formation energy without anion corrections is -5.517 eV/f.u. Its electronic total energy is -5.873 eV per atom.

a b c (Å): 4.864 5.386 8.437
angles (deg): 90.00 90.00 90.00
Atoms (fractional coordinates):
Ru1 0.000 0.750 0.392
F1 0.294 0.576 0.918
Ru2 0.000 0.250 0.608
F2 0.206 0.576 0.582
F3 0.294 0.076 0.082
F4 0.794 0.424 0.418
O1 0.750 0.379 0.750
F5 0.706 0.924 0.918
Ru3 0.500 0.750 0.108
F6 0.206 0.076 0.418
O2 0.250 0.121 0.750
F7 0.706 0.424 0.082
F8 0.794 0.924 0.582
O3 0.250 0.621 0.250
O4 0.750 0.879 0.250
Ru4 0.500 0.250 0.892

***

[10]
The following is a DFT calculation (GGA-PBE) of a relaxed structure of RuOF.

As for the total moment: 1.83 μB/cell. The formation energy without anion corrections is -3.392 eV/f.u. Its electronic total energy is -6.499 eV per atom.

a b c (Å): 3.123 6.788 6.788
angles (deg): 90.00 90.00 90.00
Atoms (fractional coordinates):
Ru1 0.500 0.773 0.233
O1 0.000 0.049 0.757
F1 0.500 0.754 0.550
F2 0.000 0.550 0.246
F3 0.000 0.450 0.754
O2 0.500 0.243 0.049
O3 0.000 0.951 0.243
F4 0.500 0.246 0.450
O4 0.500 0.757 0.951
Ru2 0.000 0.767 0.773
Ru3 0.500 0.227 0.767
Ru4 0.000 0.233 0.227

***

[11]
The following is a DFT calculation (GGA-PBE) of a relaxed structure of RuO2F2.

As for the total moment: 4.96 μB/cell. The formation energy without anion corrections is 4.549 eV/f.u. Its electronic total energy is -3.677 eV per atom.

a b c (Å): 3.564 3.564 4.350
angles (deg): 90.00 90.00 90.00
Atoms (fractional coordinates):
F1 0.000 0.000 0.500
Ru1 0.500 0.500 0.500
O1 0.000 0.500 0.000
O2 0.500 0.000 0.000
F2 0.000 0.000 0.000

***

[12]
The following is a DFT calculation (GGA-PBE) of a relaxed structure of RuOF2.

As for the total moment: 3.95 μB/cell. The energy relative to the lowest polymorph listed for this composition is 1432 meV per atom. The formation energy without anion corrections is 0.213 eV/f.u. Its electronic total energy is -4.441 eV per atom.

a b c (Å): 3.875 3.875 3.875
angles (deg): 60.00 60.00 60.00
Atoms (fractional coordinates):
O1 0.000 0.000 0.000
Ru1 0.500 0.500 0.500
F1 0.250 0.250 0.250
F2 0.750 0.750 0.750